## MnAlCl2 (PBE-GGA)

Data for crystalline MnAlCl2 at its relaxed geometry.

Cell lengths 3.146, 3.146, 8.788 Å; angles 90.00, 90.00, 90.00 degrees
Each line ends with the local moment (μB).
Fractional coordinates of all 4 atoms:
1 Cl 0.000 0.000 0.427  0.08
2 Cl 0.000 0.000 0.073  0.08
3 Al 0.500 0.500 0.750  -0.01
4 Mn 0.500 0.500 0.250  4.18

Values from the calculation:
The uncorrected formation energy comes out at -21 kJ/mol of atoms. As for the polymorph energy (0 for the lowest one): 414 meV/atom. The calculated total energy is -4.3720 eV per atom. The value obtained for the volume is 87.0 Å³/cell. Its symmetry is P4/mmm, No. 123.